[1]
Density functional theory data (PBE) for a relaxed TaPbN2O crystal.

abc: 4.234 4.234 4.143
angles: 90.00 90.00 90.00
Last column: magnetic moment on the atom in μB.
Fractional coordinates of all 5 atoms:
N 0.000 0.500 0.000  -0.21
N 0.500 0.000 0.000  -0.21
Pb 0.000 0.000 0.000  0.01
O 0.000 0.000 0.500  -0.07
Ta 0.500 0.500 0.500  1.26

Summary:
space group	P4/mmm, No. 123
uncorrected formation energy	1515	meV per atom

[2]
Density functional theory data (PBE) for a relaxed Ho11Cd9Ni4 crystal.

abc: 3.546 13.063 13.063
angles: 112.73 90.00 90.00
Fractional coordinates of all 24 atoms:
Cd 0.500 0.077 0.218
Cd 0.500 0.923 0.782
Cd 0.500 0.218 0.077
Cd 0.500 0.782 0.923
Cd 0.500 0.157 0.634
Cd 0.500 0.843 0.366
Cd 0.500 0.634 0.157
Cd 0.500 0.366 0.843
Cd 0.500 0.500 0.500
Ho 0.000 0.917 0.583
Ho 0.000 0.840 0.160
Ho 0.000 0.373 0.627
Ho 0.000 0.000 0.000
Ho 0.000 0.583 0.917
Ho 0.000 0.160 0.840
Ho 0.000 0.083 0.417
Ho 0.000 0.311 0.311
Ho 0.000 0.417 0.083
Ho 0.000 0.689 0.689
Ho 0.000 0.627 0.373
Ni 0.500 0.748 0.549
Ni 0.500 0.252 0.451
Ni 0.500 0.451 0.252
Ni 0.500 0.549 0.748

Summary:
space group	Cmmm, No. 65
formation energy	-907	kJ/mol of formula units

- Which formula does entry 2 have?
  Ho11Cd9Ni4